# CoPbBrO2

Crystalline CoPbBrO2 at its relaxed geometry (GGA+U, Alexandria).

Structure (POSCAR):
```
CoPbBrO2
1.0
7.601 0.000 0.000
0.000 3.916 0.000
-3.403 0.000 6.875
Co Pb Br O
2 2 2 4
direct
0.157 0.250 0.084
0.843 0.750 0.916
0.290 0.750 0.806
0.710 0.250 0.194
0.229 0.250 0.432
0.771 0.750 0.568
0.118 0.750 0.029
0.356 0.250 0.006
0.644 0.750 0.994
0.882 0.250 0.971
```

## Properties
Symmetry: P2_1/m (11)
Calculated volume (Å³ per cell): 204.64
Electronic total energy (eV/atom): -4.9438